(1)
Here is an optimized crystal structure of VInSb2Cl from Alexandria via LeMat-Bulk. Energies are from PBE.

Results
Density of states at the Fermi level (states/eV per cell): 9.5
DFT total energy (eV per cell): -16.3
Crystal system: tetragonal

a = 5.551 Å, b = 5.551 Å, c = 5.332 Å
α = 90.00°, β = 90.00°, γ = 90.00°
Sites, in units of the cell vectors:
V (0.000, 0.000, 0.000)
In (0.000, 0.000, 0.500)
Sb (0.000, 0.500, 0.500)
Sb (0.500, 0.000, 0.500)
Cl (0.500, 0.500, 0.000)


(2)
Here is an optimized crystal structure of ScInCl from Alexandria via LeMat-Bulk. Energies are from PBE.

Results
Density of states at the Fermi level (states/eV per cell): 2.0
Distance to the lowest polymorph of the same formula (meV per atom): 329.4
Crystal system: hexagonal

a = 4.601 Å, b = 4.601 Å, c = 3.775 Å
α = 90.00°, β = 90.00°, γ = 120.00°
Sites, in units of the cell vectors:
Sc (0.000, 0.000, 0.000)
In (0.333, 0.667, 0.500)
Cl (0.667, 0.333, 0.000)